[1]
Material: BiP2Ru2
Method: DFT, PBE-GGA
State: optimized geometry

Cell: 3.693 3.693 13.192 Å, 90.00 90.00 90.00°
Fractional positions:
Bi (0.000, 0.000, 0.000)
Bi (0.500, 0.500, 0.500)
P (0.000, 0.500, 0.250)
P (0.000, 0.500, 0.750)
P (0.500, 0.000, 0.250)
P (0.500, 0.000, 0.750)
Ru (0.000, 0.000, 0.354)
Ru (0.000, 0.000, 0.646)
Ru (0.500, 0.500, 0.146)
Ru (0.500, 0.500, 0.854)

Properties
**Raw total energy**: -68.4 eV per cell
**N(E_F)**: 3.93 states/eV/cell
**DFT formation energy**: -187 meV per atom

---

[2]
Material: Y2FeNi3Ge4
Method: DFT, PBE-GGA
State: optimized geometry

Cell: 4.032 4.032 9.876 Å, 90.00 90.00 90.00°
Fractional positions:
Y (0.000, 0.500, 0.248)
Y (0.500, 0.000, 0.752)
Fe (0.000, 0.000, 0.500)
Ni (0.000, 0.500, 0.870)
Ni (0.500, 0.000, 0.130)
Ni (0.500, 0.500, 0.500)
Ge (0.000, 0.000, 0.000)
Ge (0.000, 0.500, 0.630)
Ge (0.500, 0.000, 0.370)
Ge (0.500, 0.500, 0.000)

Properties
**Raw total energy**: -63.5 eV per cell
**N(E_F)**: 4.80 states/eV/cell
**DFT formation energy**: -629 meV per atom

---

[3]
Material: ZrBeCdCu
Method: DFT, PBE-GGA
State: optimized geometry

Cell: 6.322 6.322 6.322 Å, 90.00 90.00 90.00°
Fractional positions:
Zr (0.000, 0.000, 0.000)
Zr (0.000, 0.500, 0.500)
Zr (0.500, 0.000, 0.500)
Zr (0.500, 0.500, 0.000)
Be (0.250, 0.250, 0.250)
Be (0.250, 0.750, 0.750)
Be (0.750, 0.250, 0.750)
Be (0.750, 0.750, 0.250)
Cd (0.000, 0.000, 0.500)
Cd (0.000, 0.500, 0.000)
Cd (0.500, 0.000, 0.000)
Cd (0.500, 0.500, 0.500)
Cu (0.250, 0.250, 0.750)
Cu (0.250, 0.750, 0.250)
Cu (0.750, 0.250, 0.250)
Cu (0.750, 0.750, 0.750)

Properties
**Raw total energy**: -69.7 eV per cell
**N(E_F)**: 7.88 states/eV/cell
**DFT formation energy**: -33 meV per atom

---

[4]
Material: ThPt3Rh
Method: DFT, PBE-GGA
State: optimized geometry

Cell: 9.849 9.849 4.795 Å, 90.00 90.00 147.41°
Fractional positions:
Th (0.141, 0.859, 0.750)
Th (0.859, 0.141, 0.250)
Pt (0.000, 0.000, 0.000)
Pt (0.000, 0.000, 0.500)
Pt (0.058, 0.466, 0.750)
Pt (0.466, 0.058, 0.250)
Pt (0.534, 0.942, 0.750)
Pt (0.942, 0.534, 0.250)
Rh (0.324, 0.676, 0.250)
Rh (0.676, 0.324, 0.750)

Properties
**Raw total energy**: -67.8 eV per cell
**Relative energy among the computed polymorphs**: 549 meV/atom
**N(E_F)**: 11.31 states/eV/cell
**DFT formation energy**: -202 meV per atom

---

[5]
Material: Pm2ZnPd9
Method: DFT, PBE-GGA
State: optimized geometry

Cell: 4.170 4.170 11.895 Å, 90.00 90.00 90.00°
Fractional positions:
Pm (0.000, 0.000, 0.178)
Pm (0.000, 0.000, 0.822)
Zn (0.000, 0.000, 0.500)
Pd (0.000, 0.500, 0.000)
Pd (0.000, 0.500, 0.352)
Pd (0.000, 0.500, 0.648)
Pd (0.500, 0.000, 0.000)
Pd (0.500, 0.000, 0.352)
Pd (0.500, 0.000, 0.648)
Pd (0.500, 0.500, 0.175)
Pd (0.500, 0.500, 0.500)
Pd (0.500, 0.500, 0.825)

Properties
**Raw total energy**: -64.9 eV per cell
**N(E_F)**: 11.73 states/eV/cell
**DFT formation energy**: -616 meV per atom

---

[6]
Material: TlSb2OsAu
Method: DFT, PBE-GGA
State: optimized geometry

Cell: 5.069 5.069 5.435 Å, 90.00 90.00 90.00°
Fractional positions:
Tl (0.000, 0.000, 0.000)
Sb (0.000, 0.500, 0.500)
Sb (0.500, 0.000, 0.500)
Os (0.500, 0.500, 0.500)
Au (0.500, 0.500, 0.000)

Properties
**Raw total energy**: -22.9 eV per cell
**N(E_F)**: 3.25 states/eV/cell

---

[7]
Material: Sc6TlGa2
Method: DFT, PBE-GGA
State: optimized geometry

Cell: 8.082 8.082 8.082 Å, 112.65 112.46 103.47°
Fractional positions:
Sc (0.024, 0.820, 0.204)
Sc (0.243, 0.538, 0.295)
Sc (0.243, 0.948, 0.705)
Sc (0.281, 0.312, 0.593)
Sc (0.281, 0.688, 0.969)
Sc (0.385, 0.180, 0.204)
Sc (0.615, 0.820, 0.796)
Sc (0.719, 0.312, 0.031)
Sc (0.719, 0.688, 0.407)
Sc (0.757, 0.052, 0.295)
Sc (0.757, 0.462, 0.705)
Sc (0.976, 0.180, 0.796)
Tl (0.000, 0.500, 0.500)
Tl (0.500, 0.000, 0.500)
Ga (0.000, 0.150, 0.150)
Ga (0.000, 0.850, 0.850)
Ga (0.375, 0.375, 0.000)
Ga (0.625, 0.625, 0.000)

Properties
**Raw total energy**: -100.0 eV per cell
**N(E_F)**: 15.82 states/eV/cell
**DFT formation energy**: -398 meV per atom

---

Repeat the sixth record exactly.
Material: TlSb2OsAu
Method: DFT, PBE-GGA
State: optimized geometry

Cell: 5.069 5.069 5.435 Å, 90.00 90.00 90.00°
Fractional positions:
Tl (0.000, 0.000, 0.000)
Sb (0.000, 0.500, 0.500)
Sb (0.500, 0.000, 0.500)
Os (0.500, 0.500, 0.500)
Au (0.500, 0.500, 0.000)

Properties
**Raw total energy**: -22.9 eV per cell
**N(E_F)**: 3.25 states/eV/cell

---

Among the records above, which one has the lowest N(E_F)? TlSb2OsAu

---

Which value of N(E_F) does entry 6 give? 3.25 states/eV/cell